LiPm3Tl | PBE-GGA | optimized geometry

```
LiPm3Tl
1.0
6.877 0.000 0.000
3.438 5.955 0.000
3.438 1.985 8.582
Tl Pm Li
2 6 2
direct
0.881 0.881 0.358
0.119 0.119 0.642
0.895 0.390 0.326
0.610 0.105 0.674
0.389 0.895 0.326
0.390 0.389 0.326
0.611 0.610 0.674
0.105 0.611 0.674
0.666 0.666 0.001
0.334 0.334 0.999
```

The energy of formation from the pure elements is 0.129 eV per atom. As for the total magnetic moment: 0.000 μB/f.u. The value obtained for the density of states at the Fermi level is 10.1 states/eV per cell. As for the space group: R-3m (166). As for the volume: 35.1 Å³/atom. For the total energy, the calculation gives -3.58 eV/atom.


LaReHg2 | PBE-GGA | optimized geometry

```
LaReHg2
1.0
-3.030 2.005 2.385
1.489 -1.991 3.565
5.886 8.038 4.681
Hg La Re
4 2 2
direct
0.875 0.923 0.750
0.673 0.125 0.250
0.375 0.327 0.750
0.077 0.625 0.250
0.250 0.750 0.500
0.500 0.500 0.000
0.000 0.000 0.000
0.750 0.250 0.500
```

The energy of formation from the pure elements is 0.574 eV per atom. As for the total magnetic moment: 0.684 μB/f.u. The value obtained for the density of states at the Fermi level is 5.9 states/eV per cell. As for the space group: I-42d (122). As for the volume: 25.0 Å³/atom. For the total energy, the calculation gives -3.92 eV/atom.


Cs2YOsC | PBE-GGA | optimized geometry

```
Cs2YOsC
1.0
-2.158 -0.592 -6.091
-3.655 -2.104 1.499
-3.062 5.696 0.531
Os C Cs Y
1 1 2 1
direct
0.500 0.500 0.500
0.000 0.000 0.000
0.500 0.000 0.000
0.000 0.000 0.500
0.000 0.500 0.000
```

The energy of formation from the pure elements is 1.806 eV per atom. As for the total magnetic moment: 2.581 μB/f.u. The value obtained for the density of states at the Fermi level is 5.5 states/eV per cell. As for the space group: P4/mmm (123). As for the volume: 37.7 Å³/atom. For the total energy, the calculation gives -3.92 eV/atom.


Question: Which value of volume does entry 1 give?
Answer: 35.1 Å³/atom


Question: Which of these has the highest total magnetic moment?
Answer: Cs2YOsC


Question: Which of these has the highest volume?
Answer: Cs2YOsC